WI2NO | GGA+U | optimized geometry

Lattice parameters (Å, degrees): 5.033 5.033 3.775 90.00 90.00 90.00
Atoms (fractional coordinates):
W 0.000 0.000 0.000
I 0.000 0.500 0.500
I 0.500 0.000 0.500
N 0.500 0.500 0.500
O 0.500 0.500 0.000

Computed properties:
Distance to the lowest polymorph of the same formula: 4.41 eV per formula unit
Electronic total energy: -3.249 eV per atom
N(E_F): 0.5124 states/eV/atom